1.
LiNdTl: optimized geometry, PBE-GGA.

- SG = F-43m (216)
- distance to the lowest polymorph of the same formula (meV per atom) = 0

Unit cell a=4.8104 b=4.8104 c=4.8104 alpha=60.00 beta=60.00 gamma=60.00
Positions (direct):
Li  0.0000  0.0000  0.0000
Nd  0.2500  0.2500  0.2500
Tl  0.7500  0.7500  0.7500

2.
MoSeBr7: optimized geometry, PBE-GGA.

- VASP energy (eV per atom) = -3.122
- SG = Pc (7)

Unit cell a=6.9438 b=6.9403 c=15.0492 alpha=90.00 beta=100.51 gamma=90.00
Site moments in Bohr magnetons follow the coordinates.
Positions (direct):
Br  0.3365  0.8237  0.0195  0.03
Br  0.5215  0.3279  0.1194  0.04
Br  0.8755  0.8833  0.1383  0.04
Br  0.1260  0.3774  0.2481  -0.12
Br  0.4698  0.8817  0.2773  0.04
Br  0.6759  0.3760  0.4065  -0.10
Br  0.0402  0.8306  0.4157  -0.09
Br  0.3365  0.1763  0.5195  0.03
Br  0.5215  0.6721  0.6194  0.04
Br  0.8755  0.1167  0.6383  0.04
Br  0.1260  0.6226  0.7481  -0.12
Br  0.4698  0.1183  0.7773  0.04
Br  0.6759  0.6240  0.9065  -0.10
Br  0.0402  0.1694  0.9157  -0.09
Mo  0.5492  0.9879  0.1383  1.44
Mo  0.5492  0.0121  0.6383  1.44
Se  0.9021  0.5510  0.3297  -0.27
Se  0.9021  0.4490  0.8297  -0.27

3.
KPuIr: optimized geometry, PBE-GGA.

- VASP energy (eV per atom) = -7.559
- SG = F-43m (216)

Unit cell a=4.9246 b=4.9246 c=4.9246 alpha=60.00 beta=60.00 gamma=60.00
Positions (direct):
Ir  0.0000  0.0000  0.0000
K  0.7500  0.7500  0.7500
Pu  0.2500  0.2500  0.2500

4.
RbTb2: optimized geometry, PBE-GGA.

- VASP energy (eV per atom) = -2.772
- SG = Fd-3m (227)

Unit cell a=7.1980 b=7.1980 c=7.1980 alpha=60.00 beta=60.00 gamma=60.00
Site moments in Bohr magnetons follow the coordinates.
Positions (direct):
Rb  0.0000  0.0000  0.0000  0.01
Rb  0.2500  0.2500  0.2500  0.01
Tb  0.6250  0.6250  0.1250  0.12
Tb  0.6250  0.1250  0.6250  0.11
Tb  0.1250  0.6250  0.6250  0.12
Tb  0.6250  0.6250  0.6250  0.12

5.
ScB4Pt: optimized geometry, PBE-GGA.

- SG = P6/mmm (191)
- distance to the lowest polymorph of the same formula (meV per atom) = 144

Unit cell a=3.1598 b=3.1598 c=6.6266 alpha=90.00 beta=90.00 gamma=120.00
Positions (direct):
B  0.6667  0.3333  0.2487
B  0.3333  0.6667  0.2487
B  0.6667  0.3333  0.7513
B  0.3333  0.6667  0.7513
Pt  0.0000  0.0000  0.0000
Sc  0.0000  0.0000  0.5000

6.
HfBi: optimized geometry, PBE-GGA.

- VASP energy (eV per atom) = -6.965
- SG = P-6m2 (187)

Unit cell a=3.4567 b=3.4553 c=4.7052 alpha=90.00 beta=90.00 gamma=120.00
Positions (direct):
Bi  0.6667  0.3334  0.7500
Hf  0.3333  0.6666  0.2500

7.
CsTaBr6: optimized geometry, PBE-GGA.

- SG = C2/c (15)
- distance to the lowest polymorph of the same formula (meV per atom) = 0

Unit cell a=7.3222 b=7.3222 c=13.1867 alpha=100.24 beta=100.24 gamma=55.70
Positions (direct):
Br  0.2050  0.0970  0.0344
Br  0.3139  0.5264  0.1025
Br  0.8067  0.6199  0.1637
Br  0.3801  0.1933  0.3363
Br  0.4736  0.6861  0.3975
Br  0.9030  0.7950  0.4657
Br  0.0970  0.2050  0.5344
Br  0.5264  0.3139  0.6025
Br  0.6199  0.8067  0.6637
Br  0.1933  0.3801  0.8363
Br  0.6861  0.4736  0.8975
Br  0.7950  0.9030  0.9656
Cs  0.9103  0.0897  0.2500
Cs  0.0897  0.9103  0.7500
Ta  0.0000  0.5000  0.0000
Ta  0.5000  0.0000  0.5000

8.
Lu4Nb2Ga3C3: optimized geometry, PBE-GGA.

- VASP energy (eV per atom) = -6.821
- SG = C2/c (15)

Unit cell a=5.8561 b=5.8561 c=14.5018 alpha=102.24 beta=102.24 gamma=60.05
Positions (direct):
C  0.5000  0.0000  0.0000
C  0.8110  0.3444  0.0000
C  0.1890  0.6556  0.0000
C  0.3444  0.8110  0.5000
C  0.0000  0.5000  0.5000
C  0.6556  0.1890  0.5000
Ga  0.5817  0.6801  0.2481
Ga  0.8443  0.1557  0.2500
Ga  0.3199  0.4183  0.2519
Ga  0.6801  0.5817  0.7481
Ga  0.1557  0.8443  0.7500
Ga  0.4183  0.3199  0.7519
Lu  0.8768  0.7005  0.0993
Lu  0.1924  0.0428  0.0993
Lu  0.9572  0.8076  0.4007
Lu  0.2995  0.1232  0.4007
Lu  0.7005  0.8768  0.5993
Lu  0.0428  0.1924  0.5993
Lu  0.8076  0.9572  0.9007
Lu  0.1232  0.2995  0.9007
Nb  0.5259  0.3511  0.0756
Nb  0.6489  0.4741  0.4244
Nb  0.3511  0.5259  0.5756
Nb  0.4741  0.6489  0.9244